Record 1
This record from the Alexandria database describes a geometry-optimized Te2Pb4SCl structure. The functional is PBE.

Structure (POSCAR):
```
Te2Pb4SCl
1.0
7.301 0.000 0.000
0.000 4.392 0.000
-2.640 0.000 7.908
Te Pb S Cl
2 4 1 1
Direct
0.000 0.000 0.000
0.000 0.500 0.500
0.268 0.000 0.742
0.272 0.500 0.265
0.728 0.500 0.735
0.732 0.000 0.258
0.500 0.000 0.500
0.500 0.500 0.000
```

Results
Volume = 31.697 A^3/atom
E_form (uncorrected) = -451.1 meV/atom
Density of states at the Fermi level = 0.3236 states/eV per atom

Record 2
This record from the Alexandria database describes a geometry-optimized Nd4SbSe3 structure. The functional is PBE.

Structure (POSCAR):
```
Nd4SbSe3
1.0
4.311 0.000 0.000
0.000 6.095 0.000
0.000 0.000 8.634
Nd Sb Se
4 1 3
Direct
0.000 0.000 0.000
0.000 0.000 0.500
0.500 0.500 0.241
0.500 0.500 0.759
0.000 0.500 0.500
0.000 0.500 0.000
0.500 0.000 0.248
0.500 0.000 0.752
```

Results
Volume = 28.353 A^3/atom
E_form (uncorrected) = -1670.8 meV/atom
Density of states at the Fermi level = 0.4028 states/eV per atom

Record 3
This record from the Alexandria database describes a geometry-optimized Dy2Ho2ErMg5 structure. The functional is PBE.

Structure (POSCAR):
```
Dy2Ho2ErMg5
1.0
10.518 0.000 0.000
0.000 10.518 0.000
0.000 0.000 5.044
Dy Ho Er Mg
4 4 2 10
Direct
0.177 0.323 0.000
0.323 0.823 0.000
0.677 0.177 0.000
0.823 0.677 0.000
0.119 0.619 0.000
0.381 0.119 0.000
0.619 0.881 0.000
0.881 0.381 0.000
0.000 0.000 0.000
0.500 0.500 0.000
0.000 0.500 0.500
0.074 0.804 0.500
0.196 0.074 0.500
0.304 0.574 0.500
0.426 0.304 0.500
0.500 0.000 0.500
0.574 0.696 0.500
0.696 0.426 0.500
0.804 0.926 0.500
0.926 0.196 0.500
```

Results
Volume = 27.904 A^3/atom
Density of states at the Fermi level = 0.7443 states/eV per atom
DFT formation energy = 7.7 kJ per mole of atoms

In eV/atom, the VASP energy values for the records above are, in order, -3.837; -5.877; -3.010.